1.
Ba2ScCo: relaxed, PBE.

abc: 5.134 5.142 10.004
angles: 90.00 90.00 90.00
Space group Cmm2 (No. 35)
Inequivalent atoms, fractional coordinates:
Ba 0.000 0.000 0.000 [2 per cell]
Ba 0.000 0.500 0.386 [2 per cell]
Sc 0.000 0.000 0.674 [2 per cell]
Co 0.000 0.500 0.772 [2 per cell]

- Excess energy over the best structure of this formula in the dataset: 60 meV per atom
- E_form: 0.25 eV per atom

2.
Hf2CdGa: relaxed, PBE.

abc: 4.365 4.365 4.154
angles: 90.00 90.00 90.00
Space group P4/mmm (No. 123)
Inequivalent atoms, fractional coordinates:
Hf 0.000 0.500 0.000 [2 per cell]
Cd 0.000 0.000 0.500 [1 per cell]
Ga 0.500 0.500 0.500 [1 per cell]

- Excess energy over the best structure of this formula in the dataset: 46 meV per atom
- E_form: -0.16 eV per atom

3.
Br2Cl2F: relaxed, PBE.

abc: 14.329 3.325 14.944
angles: 90.00 119.91 90.00
Space group P2_1/c (No. 14)
Inequivalent atoms, fractional coordinates:
Br 0.054 0.014 0.397 [4 per cell]
Br 0.330 0.014 0.387 [4 per cell]
Cl 0.246 0.014 0.502 [4 per cell]
Cl 0.408 0.014 0.290 [4 per cell]
F 0.098 0.514 0.183 [4 per cell]

- Formation energy (no corrections): -201 meV/atom